The following is a GGA-PBE calculation of an optimized crystal structure of BaMg4AlPd2, from the Open Quantum Materials Database.

a = 6.012 Å, b = 5.037 Å, c = 17.826 Å
α = 90.00°, β = 90.00°, γ = 90.00°
Space group Amm2 (No. 38)
Asymmetric unit:
Ba  0.000  0.000  0.000 x2
Mg  0.256  0.000  0.676 x4
Mg  0.258  0.000  0.274 x4
Al  0.000  0.000  0.816 x2
Pd  0.000  0.000  0.386 x2
Pd  0.000  0.000  0.562 x2

Values from the calculation:
Energy   -2.635 eV per atom